[1]
DFT (GGA-PBEsol) results for a geometry-optimized SbOs2Pb structure.

Unit cell a=3.1252 b=3.1252 c=25.5790 alpha=90.00 beta=90.00 gamma=120.00
Space group R-3m (No. 166, hexagonal axes)
Unique sites:
Sb: 0.0000 0.0000 0.0000 [3 per cell]
Os: 0.0000 0.0000 0.2558 [6 per cell]
Pb: 0.0000 0.0000 0.5000 [3 per cell]

Properties
- N(E_F) (states/eV per cell) = 8.77
- size of the total moment (μB per cell) = 0.0
- energy (eV for the cell shown) = -89.2
- ΔE to the lowest computed polymorph (eV/atom) = 0.208
- formation energy (no corrections) (meV/atom) = 816

=====

[2]
DFT (GGA-PBEsol) results for a geometry-optimized SbOs2Pb structure.

Unit cell a=3.197 b=4.350 c=5.348 alpha=90.00 beta=90.00 gamma=90.00
Space group Pmmm (No. 47)
Unique sites:
Sb: 0.000 0.000 0.000 [1 per cell]
Os: 0.000 0.500 0.500 [1 per cell]
Os: 0.500 0.500 0.000 [1 per cell]
Pb: 0.500 0.000 0.500 [1 per cell]

Properties
- N(E_F) (states/eV per cell) = 3.09
- size of the total moment (μB per cell) = 0.0
- energy (eV for the cell shown) = -28.4
- ΔE to the lowest computed polymorph (eV/atom) = 0.537
- formation energy (no corrections) (meV/atom) = 1144

=====

Please write out number 1 again, unchanged.
DFT (GGA-PBEsol) results for a geometry-optimized SbOs2Pb structure.

Unit cell a=3.1252 b=3.1252 c=25.5790 alpha=90.00 beta=90.00 gamma=120.00
Space group R-3m (No. 166, hexagonal axes)
Unique sites:
Sb: 0.0000 0.0000 0.0000 [3 per cell]
Os: 0.0000 0.0000 0.2558 [6 per cell]
Pb: 0.0000 0.0000 0.5000 [3 per cell]

Properties
- N(E_F) (states/eV per cell) = 8.77
- size of the total moment (μB per cell) = 0.0
- energy (eV for the cell shown) = -89.2
- ΔE to the lowest computed polymorph (eV/atom) = 0.208
- formation energy (no corrections) (meV/atom) = 816